# ZnCdN3, optimized geometry, DFT PBE
# * D(E_F): 0.29 states/eV per atom
# * SG: Pm-3m (221)
# * E_form (uncorrected): 1.826 eV per atom
data_ZnCdN3
_symmetry_space_group_name_H-M 'P 1'
_symmetry_Int_Tables_number 1
_cell_length_a 3.951
_cell_length_b 3.951
_cell_length_c 3.951
_cell_angle_alpha 90.00
_cell_angle_beta 90.00
_cell_angle_gamma 90.00
loop_
_symmetry_equiv_pos_as_xyz
'x,y,z'
loop_
_atom_site_label
_atom_site_fract_x
_atom_site_fract_y
_atom_site_fract_z
N1 0.500 0.000 0.000
N2 0.000 0.000 0.500
N3 0.000 0.500 0.000
Zn1 0.000 0.000 0.000
Cd1 0.500 0.500 0.500